The following is a DFT calculation (PBE) of Cs4Rb2Hg2Au after structural relaxation.

ΔE_f: -169 meV per atom
energy: -1.1945 eV per atom
DOS(E_F): 0.608 states/eV/atom

Cell and atoms, written as POSCAR:
```
Cs4Rb2Hg2Au
1.0
8.579 0.000 0.000
0.914 8.900 0.000
3.214 3.184 7.856
Cs Rb Hg Au
4 2 2 1
Direct
0.153 0.245 0.419
0.279 0.876 0.954
0.721 0.124 0.046
0.847 0.755 0.581
0.321 0.461 0.772
0.679 0.539 0.228
0.341 0.823 0.383
0.659 0.177 0.617
0.500 0.000 0.500
```